Entry 1:
Ti2MnGeH, relaxed, DFT PBE; space group = No. 123; crystal system = tetragonal; final energy = -7.001 eV/atom
1.0
4.0569 0.0000 0.0000
0.0000 4.0569 0.0000
0.0000 0.0000 3.6495
H Ge Ti Mn
1 1 2 1
Cartesian
0.0000 0.0000 0.0000 H
2.0285 2.0285 1.8247 Ge
0.0000 2.0285 0.0000 Ti
2.0285 0.0000 0.0000 Ti
0.0000 0.0000 1.8247 Mn



Entry 2:
TiMn2GeH, relaxed, DFT PBE; space group = No. 63; crystal system = orthorhombic; final energy = -7.007 eV/atom
1.0
-1.4708 -0.1037 2.6170
4.2418 -3.6404 0.5159
4.1690 5.2191 2.5499
Ti Mn Ge H
2 4 2 2
Cartesian
0.4058 1.1487 1.9975 Ti
6.5341 0.3263 3.6853 Ti
3.5959 -0.3594 3.7306 Mn
1.9897 -2.3702 2.7482 Mn
3.3441 1.8344 1.9521 Mn
4.9503 3.8452 2.9345 Mn
4.2591 1.8958 4.1927 Ge
2.6809 -0.4208 1.4901 Ge
0.0000 0.0000 0.0000 H
2.0845 2.6095 1.2749 H